A plane-wave DFT calculation with GGA-PBE was carried out for KHgRu3 after structural relaxation.

- Total energy: -3.1042 eV/atom
- ΔH_f (0 K): 2.7411 eV per atom
- Magnetic moment: 5.64 Bohr magnetons per cell
- DOS(E_F): 5.41 states/eV per cell
- Energy relative to the lowest polymorph listed for this composition: 689.9 meV/atom

a = 4.742 Å, b = 4.742 Å, c = 4.742 Å
α = 90.00°, β = 90.00°, γ = 90.00°
Fractional coordinates of all 5 atoms:
K 0.000 0.000 0.000
Hg 0.500 0.500 0.500
Ru 0.000 0.000 0.500
Ru 0.000 0.500 0.000
Ru 0.500 0.000 0.000